# AgCS3 PBE-GGA optimized geometry
# - Distance to the lowest polymorph of the same formula: 1027 meV per atom
# - Energy relative to the elements, uncorrected: 2.281 eV/atom
# - Density: 3.29 g/cm³
data_AgCS3
_chemical_formula_sum 'Ag1 C1 S3'
_space_group_name_H-M_alt 'P m -3 m'
_space_group_IT_number 221
_space_group_name_Hall '-P 4 2 3'
_cell_length_a 4.776
_cell_length_b 4.776
_cell_length_c 4.776
_cell_angle_alpha 90.00
_cell_angle_beta 90.00
_cell_angle_gamma 90.00
loop_
_atom_site_label
_atom_site_fract_x
_atom_site_fract_y
_atom_site_fract_z
_atom_site_occupancy
Ag1 0.000 0.000 0.000 1
C1 0.500 0.500 0.500 1
S1 0.000 0.000 0.500 1

# BaCdGa2Hg PBE-GGA optimized geometry
# - E: -0.0810 Ha/atom
# - Density: 7.54 g/cm³
data_BaCdGa2Hg
_chemical_formula_sum 'Ba2 Cd2 Ga4 Hg2'
_space_group_name_H-M_alt 'I -4 m 2'
_space_group_IT_number 119
_space_group_name_Hall 'I -4 -2'
_cell_length_a 4.802
_cell_length_b 4.802
_cell_length_c 11.263
_cell_angle_alpha 90.00
_cell_angle_beta 90.00
_cell_angle_gamma 90.00
loop_
_atom_site_label
_atom_site_fract_x
_atom_site_fract_y
_atom_site_fract_z
_atom_site_occupancy
Ba1 0.000 0.000 0.000 1
Cd1 0.000 0.500 0.750 1
Ga1 0.000 0.000 0.386 1
Hg1 0.000 0.500 0.250 1

Look up the density of the first one.
3.29 g/cm³

Among the records above, which one has the highest density?
BaCdGa2Hg

What is the formula in the first record?
AgCS3